No. 1
An optimized crystal structure of Ce5Pm2Ge4. Source: Alexandria via LeMat-Bulk, functional PBE.

volume: 26.04 A^3/atom
ΔH_f (0 K): -2.59 eV per formula unit
density: 7.4 g/cm3

Lattice parameters (Å, degrees): 3.253 7.018 12.751 97.14 97.33 90.00
Last column: magnetic moment on the atom in μB.
Atoms (fractional coordinates):
Ce 0.145 0.858 0.291  0.38
Ce 0.855 0.142 0.709  0.38
Ce 0.221 0.187 0.442  0.09
Ce 0.500 0.000 0.000  0.49
Ce 0.779 0.813 0.558  0.09
Pm 0.909 0.679 0.819  -0.01
Pm 0.091 0.321 0.181  -0.01
Ge 0.682 0.527 0.364  -0.01
Ge 0.030 0.661 0.061  -0.01
Ge 0.318 0.473 0.636  -0.01
Ge 0.970 0.339 0.939  -0.01

No. 2
An optimized crystal structure of TaNb4W2. Source: Alexandria via LeMat-Bulk, functional PBE.

volume: 19.32 A^3/atom
offset from the most stable computed form: 0.96 kcal/mol of atoms
ΔH_f (0 K): 3.55 eV per formula unit
density: 11.3 g/cm3

Lattice parameters (Å, degrees): 2.748 5.422 9.073 90.00 90.00 90.00
Atoms (fractional coordinates):
Ta 0.000 0.000 0.000
Nb 0.764 0.742 0.265
Nb 0.236 0.258 0.265
Nb 0.764 0.258 0.735
Nb 0.236 0.742 0.735
W 0.500 0.500 0.000
W 0.500 0.000 0.500

No. 3
An optimized crystal structure of BeCo3Se. Source: Alexandria via LeMat-Bulk, functional PBE.

volume: 12.43 A^3/atom
offset from the most stable computed form: 0.00 kcal/mol of atoms
density: 7.1 g/cm3

Lattice parameters (Å, degrees): 3.961 3.961 3.961 90.00 90.00 90.00
Last column: magnetic moment on the atom in μB.
Atoms (fractional coordinates):
Be 0.000 0.000 0.000  -0.10
Co 0.000 0.500 0.000  1.50
Co 0.000 0.000 0.500  1.10
Co 0.500 0.000 0.000  1.28
Se 0.500 0.500 0.500  0.09

No. 4
An optimized crystal structure of AcY6Ho2. Source: Alexandria via LeMat-Bulk, functional PBE.

volume: 33.26 A^3/atom
offset from the most stable computed form: 0.00 kcal/mol of atoms
ΔH_f (0 K): 0.11 eV per formula unit
density: 6.0 g/cm3

Lattice parameters (Å, degrees): 3.650 9.587 8.958 76.81 90.00 100.97
Atoms (fractional coordinates):
Ac 0.000 0.000 0.500
Y 0.075 0.150 0.840
Y 0.259 0.518 0.164
Y 0.741 0.482 0.836
Y 0.331 0.661 0.498
Y 0.669 0.339 0.502
Y 0.925 0.850 0.160
Ho 0.405 0.811 0.839
Ho 0.595 0.189 0.161

No. 5
An optimized crystal structure of Cs2ZnP. Source: Alexandria via LeMat-Bulk, functional PBE.

volume: 39.86 A^3/atom
offset from the most stable computed form: 1.52 kcal/mol of atoms
ΔH_f (0 K): -0.71 eV per formula unit
density: 3.8 g/cm3

Lattice parameters (Å, degrees): 4.234 7.366 11.058 112.40 90.00 90.00
Atoms (fractional coordinates):
Cs 0.750 0.194 0.421
Cs 0.250 0.806 0.579
Cs 0.250 0.786 0.071
Cs 0.750 0.214 0.929
Zn 0.250 0.452 0.241
Zn 0.750 0.548 0.759
P 0.750 0.608 0.280
P 0.250 0.392 0.720

No. 6
An optimized crystal structure of TiNb2Zn2. Source: Alexandria via LeMat-Bulk, functional PBE.

volume: 16.77 A^3/atom
offset from the most stable computed form: 0.00 kcal/mol of atoms
ΔH_f (0 K): 0.29 eV per formula unit
density: 7.2 g/cm3

Lattice parameters (Å, degrees): 6.881 6.881 3.541 90.00 90.00 90.00
Last column: magnetic moment on the atom in μB.
Atoms (fractional coordinates):
Nb 0.174 0.674 0.500  0.09
Nb 0.674 0.826 0.500  0.09
Nb 0.826 0.326 0.500  0.09
Nb 0.326 0.174 0.500  0.09
Zn 0.374 0.874 0.000  0.01
Zn 0.874 0.626 0.000  0.01
Zn 0.626 0.126 0.000  0.01
Zn 0.126 0.374 0.000  0.01
Ti 0.000 0.000 0.000  0.36
Ti 0.500 0.500 0.000  0.35

No. 7
An optimized crystal structure of Ba2Cd6Pb. Source: Alexandria via LeMat-Bulk, functional PBE.

volume: 29.95 A^3/atom
ΔH_f (0 K): -2.60 eV per formula unit
density: 7.1 g/cm3

Lattice parameters (Å, degrees): 6.794 6.768 6.768 60.01 90.00 90.00
Atoms (fractional coordinates):
Ba 0.848 0.667 0.667
Ba 0.152 0.333 0.333
Cd 0.348 0.364 0.818
Cd 0.348 0.818 0.818
Cd 0.348 0.818 0.364
Cd 0.652 0.636 0.182
Cd 0.652 0.182 0.182
Cd 0.652 0.182 0.636
Pb 0.000 0.000 0.000

No. 8
An optimized crystal structure of BaSbPt2. Source: Alexandria via LeMat-Bulk, functional PBE.

volume: 25.67 A^3/atom
energy: -19.64 eV per cell
density: 10.5 g/cm3

Lattice parameters (Å, degrees): 5.854 5.854 5.854 142.11 121.90 71.47
Atoms (fractional coordinates):
Ba 0.745 0.245 0.500
Pt 0.056 0.056 0.000
Pt 0.252 0.752 0.500
Sb 0.447 0.447 0.000

No. 9
An optimized crystal structure of AcNd8Er5. Source: Alexandria via LeMat-Bulk, functional PBE.

volume: 35.46 A^3/atom
ΔH_f (0 K): 3.40 eV per formula unit
density: 7.4 g/cm3

Lattice parameters (Å, degrees): 8.651 8.651 8.651 111.59 105.32 111.59
Atoms (fractional coordinates):
Ac 0.250 0.500 0.750
Nd 0.155 0.738 0.082
Nd 0.918 0.073 0.656
Nd 0.722 0.254 0.325
Nd 0.675 0.397 0.929
Nd 0.532 0.603 0.278
Nd 0.583 0.927 0.845
Nd 0.344 0.262 0.417
Nd 0.071 0.746 0.468
Er 0.045 0.319 0.132
Er 0.868 0.913 0.188
Er 0.812 0.681 0.725
Er 0.500 0.000 0.500
Er 0.275 0.087 0.955

No. 10
An optimized crystal structure of PS. Source: Alexandria via LeMat-Bulk, functional PBE.

volume: 33.61 A^3/atom
offset from the most stable computed form: 6.64 kcal/mol of atoms
density: 1.6 g/cm3

Lattice parameters (Å, degrees): 7.719 18.630 7.479 90.00 90.00 90.00
Atoms (fractional coordinates):
P 0.000 0.920 0.000
P 0.000 0.080 0.000
P 0.250 0.830 0.250
P 0.250 0.670 0.250
P 0.000 0.420 0.500
P 0.000 0.580 0.500
P 0.250 0.330 0.750
P 0.250 0.170 0.750
P 0.500 0.920 0.500
P 0.500 0.080 0.500
P 0.750 0.830 0.750
P 0.750 0.670 0.750
P 0.500 0.420 0.000
P 0.500 0.580 0.000
P 0.750 0.330 0.250
P 0.750 0.170 0.250
S 0.191 0.000 0.000
S 0.809 0.000 0.000
S 0.059 0.750 0.250
S 0.441 0.750 0.250
S 0.191 0.500 0.500
S 0.809 0.500 0.500
S 0.059 0.250 0.750
S 0.441 0.250 0.750
S 0.691 0.000 0.500
S 0.309 0.000 0.500
S 0.559 0.750 0.750
S 0.941 0.750 0.750
S 0.691 0.500 0.000
S 0.309 0.500 0.000
S 0.559 0.250 0.250
S 0.941 0.250 0.250

No. 11
An optimized crystal structure of Ho2Tm5Tl. Source: Alexandria via LeMat-Bulk, functional PBE.

volume: 29.54 A^3/atom
offset from the most stable computed form: 0.00 kcal/mol of atoms
ΔH_f (0 K): 0.01 eV per formula unit
density: 9.7 g/cm3

Lattice parameters (Å, degrees): 3.385 10.983 8.569 129.86 101.39 90.00
Atoms (fractional coordinates):
Ho 0.268 0.767 0.534
Ho 0.732 0.233 0.466
Tm 0.000 0.500 0.000
Tm 0.633 0.402 0.265
Tm 0.367 0.598 0.735
Tm 0.633 0.863 0.265
Tm 0.367 0.137 0.735
Tl 0.000 0.000 0.000

No. 12
An optimized crystal structure of SmGeO3. Source: Alexandria via LeMat-Bulk, functional PBE.

volume: 12.28 A^3/atom
energy: -34.41 eV per cell
density: 7.3 g/cm3

Lattice parameters (Å, degrees): 3.945 3.945 3.945 90.00 90.00 90.00
Atoms (fractional coordinates):
Sm 0.000 0.000 0.000
Ge 0.500 0.500 0.500
O 0.500 0.500 0.000
O 0.500 0.000 0.500
O 0.000 0.500 0.500